Material: Ta2P3Se8
Method: DFT, GGA-PBEsol
State: optimized geometry

```
Ta2P3Se8
1.0
10.4499 0.0000 0.0000
0.0000 17.2668 0.0000
0.0000 0.0000 3.3267
Ta P Se
4 6 16
Direct
0.2207 0.1026 0.0000
0.2793 0.6026 0.0000
0.7207 0.3974 0.0000
0.7793 0.8974 0.0000
0.0000 0.0000 0.5000
0.1223 0.6804 0.5000
0.3777 0.1804 0.5000
0.5000 0.5000 0.5000
0.6223 0.8196 0.5000
0.8777 0.3196 0.5000
0.0257 0.5965 0.0000
0.0420 0.1415 0.5000
0.2374 0.7545 0.0000
0.2390 0.9882 0.5000
0.2610 0.4882 0.5000
0.2626 0.2545 0.0000
0.4580 0.6415 0.5000
0.4743 0.0965 0.0000
0.5257 0.9035 0.0000
0.5420 0.3585 0.5000
0.7374 0.7455 0.0000
0.7390 0.5118 0.5000
0.7610 0.0118 0.5000
0.7626 0.2455 0.0000
0.9580 0.8585 0.5000
0.9743 0.4035 0.0000
```

Values from the calculation:
The calculation puts the uncorrected formation energy at -447.4 kJ/mol of formula units. For the total energy, the calculation gives -5.99 eV per atom. The space-group type is Pbam (55).